DFT (PBE-GGA) results for a geometry-optimized TbY3Ho6Tm2 structure.

```
12
Lattice="3.060 -5.294 0.000 3.060 5.294 0.000 -2.030 0.000 11.535" Properties=species:S:1:pos:R:3 pbc="T T T"
Tb 0.000 0.000 0.000
Y 2.045 3.527 5.767
Y 2.045 0.000 5.767
Y 2.045 -3.527 5.767
Ho 1.027 1.766 2.862
Ho 0.007 0.000 8.673
Ho 1.027 -1.766 2.862
Ho 3.064 1.766 8.673
Ho 4.084 0.000 2.862
Ho 3.064 -1.766 8.673
Tm 3.060 1.765 0.000
Tm 3.060 -1.765 0.000
```

Space-group type ... C2/m
Formation energy ... 0.023 eV/atom
D(E_F) ... 16.99 states/eV/cell